Record 1
VASP calculation (GGA-PBEsol) on a relaxed structure of Sn3BrF5.

Unit cell a=4.1183 b=12.5300 c=13.2114 alpha=90.00 beta=107.90 gamma=90.00
Fractional coordinates of all 36 atoms:
1 Sn 0.0642 0.1252 0.1557
2 Sn 0.0642 0.3748 0.6557
3 Sn 0.4282 0.5994 0.9014
4 Sn 0.4282 0.9006 0.4014
5 Sn 0.4328 0.1574 0.8718
6 Sn 0.4328 0.3426 0.3718
7 Sn 0.5672 0.6574 0.6282
8 Sn 0.5672 0.8426 0.1282
9 Sn 0.5718 0.0994 0.5986
10 Sn 0.5718 0.4006 0.0986
11 Sn 0.9358 0.6252 0.3443
12 Sn 0.9358 0.8748 0.8443
13 Br 0.1256 0.6203 0.1201
14 Br 0.1256 0.8797 0.6201
15 Br 0.8744 0.1203 0.3799
16 Br 0.8744 0.3797 0.8799
17 F 0.0551 0.6191 0.5157
18 F 0.0551 0.8809 0.0157
19 F 0.1455 0.1587 0.6587
20 F 0.1455 0.3413 0.1587
21 F 0.2468 0.5966 0.7257
22 F 0.2468 0.9034 0.2257
23 F 0.3771 0.5140 0.3795
24 F 0.3771 0.9860 0.8795
25 F 0.4110 0.7246 0.4034
26 F 0.4110 0.7754 0.9034
27 F 0.5890 0.2246 0.0966
28 F 0.5890 0.2754 0.5966
29 F 0.6229 0.0140 0.1205
30 F 0.6229 0.4860 0.6205
31 F 0.7532 0.0966 0.7743
32 F 0.7532 0.4034 0.2743
33 F 0.8545 0.6587 0.8413
34 F 0.8545 0.8413 0.3413
35 F 0.9449 0.1191 0.9843
36 F 0.9449 0.3809 0.4843

Computed properties:
- E_form (uncorrected) (eV/atom) = -2.014

---

Record 2
VASP calculation (GGA-PBEsol) on a relaxed structure of Ca2NbGe2.

Unit cell a=7.0537 b=7.0537 c=7.0537 alpha=147.46 beta=147.46 gamma=46.69
Fractional coordinates of all 5 atoms:
1 Ca 0.2500 0.7500 0.5000
2 Ca 0.7500 0.2500 0.5000
3 Nb 0.0000 0.0000 0.0000
4 Ge 0.4093 0.4093 0.0000
5 Ge 0.5907 0.5907 0.0000

Computed properties:
- energy of formation from the pure elements (meV per atom) = 128

---

Record 3
VASP calculation (GGA-PBEsol) on a relaxed structure of FeNi3Mo6N2.

Unit cell a=6.5789 b=6.5768 c=6.5856 alpha=90.00 beta=90.09 gamma=90.00
Fractional coordinates of all 24 atoms:
1 Fe 0.1789 0.0000 0.4297
2 Fe 0.8211 0.5000 0.5703
3 Ni 0.0654 0.2444 0.6828
4 Ni 0.3174 0.3614 0.9329
5 Ni 0.4355 0.1141 0.1862
6 Ni 0.5645 0.6141 0.8138
7 Ni 0.6826 0.8614 0.0671
8 Ni 0.9346 0.7444 0.3172
9 Mo 0.0502 0.0534 0.0485
10 Mo 0.1283 0.3774 0.2966
11 Mo 0.1983 0.6319 0.6212
12 Mo 0.2997 0.7263 0.1221
13 Mo 0.3728 0.9784 0.7977
14 Mo 0.4572 0.3086 0.5516
15 Mo 0.5428 0.8086 0.4484
16 Mo 0.6272 0.4784 0.2023
17 Mo 0.7003 0.2263 0.8779
18 Mo 0.8017 0.1319 0.3788
19 Mo 0.8717 0.8774 0.7034
20 Mo 0.9498 0.5534 0.9515
21 N 0.1241 0.8026 0.8742
22 N 0.3754 0.5541 0.3736
23 N 0.6246 0.0541 0.6264
24 N 0.8759 0.3026 0.1258

Computed properties:
- E_form (uncorrected) (eV/atom) = -0.330

---

In eV per atom, the total DFT energy (no corrections) values for the records above are, in order, -4.7122, -4.8655, -9.9213.
In Bohr magnetons per cell, the magnetic moment values for the records above are, in order, 0.00, 0.00, 3.96.